one | An optimized crystal structure of CrIr2Os. Source: Alexandria, functional PBE-GGA.

```
4
Lattice="2.706 0.000 0.000 0.000 2.706 0.000 0.000 0.000 7.568" Properties=species:S:1:pos:R:3 pbc="T T T"
Cr 0.000 0.000 0.000
Ir 0.000 0.000 3.810
Ir 1.353 1.353 1.749
Os 1.353 1.353 5.709
```

## Properties
Symmetry: No. 99

two | An optimized crystal structure of CrIr2Os. Source: Alexandria, functional PBE-GGA.

```
4
Lattice="3.812 0.000 0.000 0.000 3.812 0.000 0.000 0.000 3.824" Properties=species:S:1:pos:R:3 pbc="T T T"
Cr 0.000 0.000 0.000
Ir 0.000 1.906 1.912
Ir 1.906 0.000 1.912
Os 1.906 1.906 0.000
```

## Properties
Symmetry: No. 123

Quick look at relative energies in meV per atom: one 100; two 0.

one | An optimized crystal structure of CrIr2Os. Source: Alexandria, functional PBE-GGA.

```
4
Lattice="1.355 0.782 8.757 -1.355 0.782 8.757 0.000 -1.564 8.757" Properties=species:S:1:pos:R:3 pbc="T T T"
Cr 0.000 0.000 0.000
Ir 0.000 0.000 6.690
Ir 0.000 0.000 13.122
Os 0.000 0.000 19.645
```

## Properties
Symmetry: No. 160

two | An optimized crystal structure of CrIr2Os. Source: Alexandria, functional PBE-GGA.

```
4
Lattice="2.701 0.000 0.000 0.000 2.701 0.000 0.000 0.000 7.590" Properties=species:S:1:pos:R:3 pbc="T T T"
Cr 0.000 0.000 0.000
Ir 1.351 1.351 1.839
Ir 1.351 1.351 5.751
Os 0.000 0.000 3.795
```

## Properties
Symmetry: No. 123

Quick look at relative energies in meV per atom: one 82; two 0.

one | An optimized crystal structure of CrIr2Os. Source: Alexandria, functional PBE-GGA.

```
4
Lattice="3.248 0.000 0.000 0.000 3.248 0.000 0.000 0.000 5.434" Properties=species:S:1:pos:R:3 pbc="T T T"
Cr 0.000 0.000 0.000
Ir 0.000 0.000 2.685
Ir 1.624 1.624 1.264
Os 1.624 1.624 4.075
```

## Properties
Symmetry: No. 99

two | An optimized crystal structure of CrIr2Os. Source: Alexandria, functional PBE-GGA.

```
4
Lattice="0.000 3.051 3.051 3.051 0.000 3.051 3.051 3.051 0.000" Properties=species:S:1:pos:R:3 pbc="T T T"
Cr 0.000 0.000 0.000
Ir 1.525 1.525 1.525
Ir 3.051 3.051 3.051
Os 4.576 4.576 4.576
```

## Properties
Symmetry: No. 216

Quick look at relative energies in meV per atom: one 0; two 115.

one | An optimized crystal structure of CrIrOs3. Source: Alexandria, functional PBE-GGA.

```
10
Lattice="7.486 -1.341 0.000 7.486 1.341 0.000 -0.510 0.000 8.226" Properties=species:S:1:pos:R:3 pbc="T T T"
Cr 0.308 0.000 3.131
Cr 14.154 0.000 5.095
Ir 5.556 0.000 3.098
Ir 8.906 0.000 5.128
Os 0.413 0.000 7.268
Os 2.759 0.000 3.183
Os 5.545 0.000 6.947
Os 8.917 0.000 1.278
Os 11.703 0.000 5.043
Os 14.049 0.000 0.958
```

## Properties
Symmetry: No. 12

two | An optimized crystal structure of CrIrOs3. Source: Alexandria, functional PBE-GGA.

```
5
Lattice="4.377 0.000 0.000 0.000 4.377 0.000 0.000 0.000 4.377" Properties=species:S:1:pos:R:3 pbc="T T T"
Cr 0.000 0.000 0.000
Ir 2.189 2.189 2.189
Os 0.000 0.000 2.189
Os 0.000 2.189 0.000
Os 2.189 0.000 0.000
```

## Properties
Symmetry: No. 221

Quick look at relative energies in meV per atom: one 0; two 1451.

one | An optimized crystal structure of Cr2IrOs. Source: Alexandria, functional PBE-GGA.

```
4
Lattice="0.000 3.012 3.012 3.012 0.000 3.012 3.012 3.012 0.000" Properties=species:S:1:pos:R:3 pbc="T T T"
Cr 0.000 0.000 0.000
Cr 1.506 1.506 1.506
Ir 3.012 3.012 3.012
Os 4.518 4.518 4.518
```

## Properties
Symmetry: No. 216

two | An optimized crystal structure of Cr2IrOs. Source: Alexandria, functional PBE-GGA.

```
4
Lattice="0.000 3.021 3.021 3.021 0.000 3.021 3.021 3.021 0.000" Properties=species:S:1:pos:R:3 pbc="T T T"
Cr 1.510 1.510 1.510
Cr 4.531 4.531 4.531
Ir 0.000 0.000 0.000
Os 3.021 3.021 3.021
```

## Properties
Symmetry: No. 225

Quick look at relative energies in meV per atom: one 196; two 0.

one | An optimized crystal structure of CrIr4Os. Source: Alexandria, functional PBE-GGA.

```
6
Lattice="0.000 3.611 3.611 3.611 0.000 3.611 3.611 3.611 0.000" Properties=species:S:1:pos:R:3 pbc="T T T"
Cr 0.000 0.000 0.000
Ir 2.709 2.709 2.709
Ir 4.512 4.512 2.709
Ir 4.512 2.709 4.512
Ir 2.709 4.512 4.512
Os 5.416 5.416 5.416
```

## Properties
Symmetry: No. 216

two | An optimized crystal structure of CrIr4Os. Source: Alexandria, functional PBE-GGA.

```
6
Lattice="3.507 -2.020 0.000 3.507 2.020 0.000 -2.346 0.000 6.946" Properties=species:S:1:pos:R:3 pbc="T T T"
Cr 0.000 0.000 0.000
Ir -0.001 0.000 2.480
Ir 2.337 0.000 0.848
Ir 2.331 0.000 6.098
Ir 4.669 0.000 4.466
Os 2.334 0.000 3.473
```

## Properties
Symmetry: No. 12

three | An optimized crystal structure of CrIr4Os. Source: Alexandria, functional PBE-GGA.

```
6
Lattice="4.339 0.000 0.000 0.000 1.370 7.094 0.000 -1.370 7.094" Properties=species:S:1:pos:R:3 pbc="T T T"
Cr 0.000 0.000 0.000
Ir 0.000 0.000 4.819
Ir 0.000 0.000 9.436
Ir 2.169 0.000 7.885
Ir 2.169 0.000 12.641
Os 2.169 0.000 3.160
```

## Properties
Symmetry: No. 38

Quick look at relative energies in meV per atom: one 743; two 509; three 0.